Ba3TbMo2O9 after structural relaxation, computed with PBE+U.

## Properties
SG = P-3m1, No. 164
Magnetic moment = 3.0 μB/cell
Total DFT energy (no corrections) = -7.14 eV per atom

Cell lengths 5.9900, 5.9900, 7.2830 Å; angles 90.00, 90.00, 120.00 degrees
Last column: nearest neighbours and their distance in Å.
Atoms (fractional coordinates):
Ba (0.3333, 0.6667, 0.6714)  12 O 2.95-3.06
Ba (0.0000, 0.0000, 0.0000)  12 O 2.94-3.00
Ba (0.6667, 0.3333, 0.3286)  12 O 2.95-3.06
Tb (0.0000, 0.0000, 0.5000)  6 O 2.25
Mo (0.3333, 0.6667, 0.1610)  6 O 2.00-2.09
Mo (0.6667, 0.3333, 0.8390)  6 O 2.00-2.09
O (0.8253, 0.1747, 0.6827)  1 Mo 2.00
O (0.8253, 0.6506, 0.6827)  1 Mo 2.00
O (0.3494, 0.1747, 0.6827)  1 Mo 2.00
O (0.6506, 0.8253, 0.3173)  1 Mo 2.00
O (0.1747, 0.3494, 0.3173)  1 Mo 2.00
O (0.1747, 0.8253, 0.3173)  1 Mo 2.00
O (0.5000, 0.0000, 0.0000)  2 Mo 2.09
O (0.0000, 0.5000, 0.0000)  2 Mo 2.09
O (0.5000, 0.5000, 0.0000)  2 Mo 2.09